# 1
TaV3Ni: optimized geometry, PBE.

Unit cell a=4.3254 b=4.3254 c=4.3254 alpha=90.00 beta=90.00 gamma=90.00
Space group Pm-3m (No. 221)
Symmetry-distinct sites (fractional):
Ta  0.0000  0.0000  0.0000 (multiplicity 1)
V  0.0000  0.5000  0.5000 (multiplicity 3)
Ni  0.5000  0.5000  0.5000 (multiplicity 1)

Output
Its crystal system is cubic. The energy relative to the lowest polymorph listed for this composition comes out at 709 meV/atom. As for the volume: 81 Å³ per cell.



# 2
TaVNi: optimized geometry, PBE.

Unit cell a=4.3995 b=4.3995 c=2.5866 alpha=90.00 beta=90.00 gamma=120.00
Space group P3m1 (No. 156)
Symmetry-distinct sites (fractional):
Ta  0.0000  0.0000  0.0000 (multiplicity 1)
V  0.6667  0.3333  0.4945 (multiplicity 1)
Ni  0.3333  0.6667  0.5080 (multiplicity 1)

Output
Its crystal system is trigonal. The energy relative to the lowest polymorph listed for this composition comes out at 362 meV/atom. As for the volume: 43 Å³ per cell.



# 3
TaV2Ni5: optimized geometry, PBE.

Unit cell a=5.2983 b=10.5481 c=3.5197 alpha=90.00 beta=90.00 gamma=90.00
Space group Pbam (No. 55)
Symmetry-distinct sites (fractional):
Ta  0.0000  0.0000  0.0000 (multiplicity 2)
V  0.2278  0.3667  0.5000 (multiplicity 4)
Ni  0.0000  0.5000  0.0000 (multiplicity 2)
Ni  0.0006  0.2507  0.0000 (multiplicity 4)
Ni  0.2426  0.6294  0.5000 (multiplicity 4)

Output
Its crystal system is orthorhombic. As for the volume: 197 Å³ per cell.



# 4
TaVNi: optimized geometry, PBE.

Unit cell a=4.3319 b=4.3319 c=5.2687 alpha=90.00 beta=90.00 gamma=120.00
Space group P3m1 (No. 156)
Symmetry-distinct sites (fractional):
Ta  0.0000  0.0000  0.0000 (multiplicity 1)
Ta  0.3333  0.6667  0.2187 (multiplicity 1)
V  0.3333  0.6667  0.7184 (multiplicity 1)
V  0.6667  0.3333  0.8160 (multiplicity 1)
Ni  0.0000  0.0000  0.5062 (multiplicity 1)
Ni  0.6667  0.3333  0.3342 (multiplicity 1)

Output
Its crystal system is trigonal. The energy relative to the lowest polymorph listed for this composition comes out at 198 meV/atom. As for the volume: 86 Å³ per cell.



# 5
TaVNi: optimized geometry, PBE.

Unit cell a=4.7325 b=6.0628 c=6.0119 alpha=90.00 beta=90.00 gamma=90.00
Space group Ima2 (No. 46)
Symmetry-distinct sites (fractional):
Ta  0.2500  0.1537  0.0000 (multiplicity 4)
V  0.2500  0.6610  0.1887 (multiplicity 4)
Ni  0.0000  0.0000  0.3517 (multiplicity 4)

Output
Its crystal system is orthorhombic. The energy relative to the lowest polymorph listed for this composition comes out at 91 meV/atom. As for the volume: 172 Å³ per cell.



# 6
Ta2V2Ni: optimized geometry, PBE.

Unit cell a=6.2888 b=6.2888 c=3.8932 alpha=90.00 beta=90.00 gamma=90.00
Space group P4/mbm (No. 127)
Symmetry-distinct sites (fractional):
Ta  0.1760  0.3240  0.0000 (multiplicity 4)
V  0.1315  0.6315  0.5000 (multiplicity 4)
Ni  0.0000  0.0000  0.5000 (multiplicity 2)

Output
Its crystal system is tetragonal. As for the volume: 154 Å³ per cell.



# 7
TaVNi: optimized geometry, PBE.

Unit cell a=3.1354 b=3.1354 c=8.7675 alpha=90.00 beta=90.00 gamma=90.00
Space group I4mm (No. 107)
Symmetry-distinct sites (fractional):
Ta  0.0000  0.0000  0.0000 (multiplicity 2)
V  0.0000  0.0000  0.3254 (multiplicity 2)
Ni  0.0000  0.0000  0.6724 (multiplicity 2)

Output
Its crystal system is tetragonal. The energy relative to the lowest polymorph listed for this composition comes out at 213 meV/atom. As for the volume: 86 Å³ per cell.



# 8
Ta2V3Ni: optimized geometry, PBE.

Unit cell a=4.9300 b=4.9300 c=12.4948 alpha=90.00 beta=90.00 gamma=120.00
Space group R-3m (No. 166, hexagonal axes)
Symmetry-distinct sites (fractional):
Ta  0.0000  0.0000  0.1279 (multiplicity 6)
V  0.0000  0.5000  0.0000 (multiplicity 9)
Ni  0.0000  0.0000  0.5000 (multiplicity 3)

Output
Its crystal system is trigonal. As for the volume: 263 Å³ per cell.



Let's list calculated formation energy in order: 0.877 0.146 -0.152 -0.018 -0.124 0.212 -0.003 -0.150 eV/atom.